(1)
Compound: CoGe3Ir
Source: Alexandria via LeMat-Bulk
Functional: PBE
Structure: optimized geometry

CIF file:
```
data_CoGe3Ir
_symmetry_space_group_name_H-M 'P 1'
_symmetry_Int_Tables_number 1
_cell_length_a 4.709
_cell_length_b 8.244
_cell_length_c 8.244
_cell_angle_alpha 90.23
_cell_angle_beta 96.77
_cell_angle_gamma 96.77
loop_
_symmetry_equiv_pos_as_xyz
'x,y,z'
loop_
_atom_site_label
_atom_site_type_symbol
_atom_site_fract_x
_atom_site_fract_y
_atom_site_fract_z
Co1 Co 0.250 0.077 0.923
Co2 Co 0.750 0.923 0.077
Co3 Co 0.250 0.760 0.240
Co4 Co 0.750 0.240 0.760
Ge1 Ge 0.672 0.213 0.054
Ge2 Ge 0.828 0.946 0.787
Ge3 Ge 0.328 0.787 0.946
Ge4 Ge 0.172 0.054 0.213
Ge5 Ge 0.849 0.643 0.037
Ge6 Ge 0.651 0.963 0.357
Ge7 Ge 0.151 0.357 0.963
Ge8 Ge 0.349 0.037 0.643
Ge9 Ge 0.478 0.530 0.313
Ge10 Ge 0.022 0.687 0.470
Ge11 Ge 0.522 0.470 0.687
Ge12 Ge 0.978 0.313 0.530
Ir1 Ir 0.935 0.431 0.244
Ir2 Ir 0.565 0.756 0.569
Ir3 Ir 0.065 0.569 0.756
Ir4 Ir 0.435 0.244 0.431
```

Results
The value obtained for the total magnetization is 1.7 Bohr magnetons per cell. For the electronic total energy, the calculation gives -30.4 eV per formula unit. The space group is C2/c. As for the energy of formation: -0.12 eV/atom.

=====

(2)
Compound: LaCoGeIr2
Source: Alexandria via LeMat-Bulk
Functional: PBE
Structure: optimized geometry

CIF file:
```
data_LaCoGeIr2
_symmetry_space_group_name_H-M 'P 1'
_symmetry_Int_Tables_number 1
_cell_length_a 5.018
_cell_length_b 4.563
_cell_length_c 5.018
_cell_angle_alpha 90.00
_cell_angle_beta 90.00
_cell_angle_gamma 90.00
loop_
_symmetry_equiv_pos_as_xyz
'x,y,z'
loop_
_atom_site_label
_atom_site_type_symbol
_atom_site_fract_x
_atom_site_fract_y
_atom_site_fract_z
Ge1 Ge 0.500 0.500 0.500
Ir1 Ir 0.000 0.000 0.500
Ir2 Ir 0.500 0.000 0.000
Co1 Co 0.000 0.500 0.000
La1 La 0.000 0.000 0.000
```

Results
The value obtained for the total magnetization is 0.3 Bohr magnetons per cell. For the electronic total energy, the calculation gives -25.8 eV per formula unit. The space group is P4/mmm. As for the energy of formation: 1.71 eV/atom.

=====

(3)
Compound: Nd2CoGe3Ir4
Source: Alexandria via LeMat-Bulk
Functional: PBE
Structure: optimized geometry

CIF file:
```
data_Nd2CoGe3Ir4
_symmetry_space_group_name_H-M 'P 1'
_symmetry_Int_Tables_number 1
_cell_length_a 4.210
_cell_length_b 4.210
_cell_length_c 10.300
_cell_angle_alpha 90.00
_cell_angle_beta 90.00
_cell_angle_gamma 90.00
loop_
_symmetry_equiv_pos_as_xyz
'x,y,z'
loop_
_atom_site_label
_atom_site_type_symbol
_atom_site_fract_x
_atom_site_fract_y
_atom_site_fract_z
Nd1 Nd 0.500 0.000 0.254
Nd2 Nd 0.000 0.500 0.746
Co1 Co 0.500 0.500 0.500
Ge1 Ge 0.000 0.000 0.500
Ge2 Ge 0.500 0.000 0.868
Ge3 Ge 0.000 0.500 0.132
Ir1 Ir 0.500 0.500 0.000
Ir2 Ir 0.000 0.000 0.000
Ir3 Ir 0.500 0.000 0.628
Ir4 Ir 0.000 0.500 0.372
```

Results
The value obtained for the total magnetization is 1.4 Bohr magnetons per cell. For the electronic total energy, the calculation gives -72.6 eV per formula unit. The space group is P-4m2. As for the energy of formation: -0.66 eV/atom.

=====

(4)
Compound: Nd2Co3Ge4Ir
Source: Alexandria via LeMat-Bulk
Functional: PBE
Structure: optimized geometry

CIF file:
```
data_Nd2Co3Ge4Ir
_symmetry_space_group_name_H-M 'P 1'
_symmetry_Int_Tables_number 1
_cell_length_a 4.150
_cell_length_b 4.150
_cell_length_c 9.859
_cell_angle_alpha 90.00
_cell_angle_beta 90.00
_cell_angle_gamma 90.00
loop_
_symmetry_equiv_pos_as_xyz
'x,y,z'
loop_
_atom_site_label
_atom_site_type_symbol
_atom_site_fract_x
_atom_site_fract_y
_atom_site_fract_z
Nd1 Nd 0.500 0.000 0.243
Nd2 Nd 0.000 0.500 0.757
Co1 Co 0.000 0.000 0.500
Co2 Co 0.500 0.000 0.877
Co3 Co 0.000 0.500 0.123
Ge1 Ge 0.500 0.500 0.000
Ge2 Ge 0.000 0.000 0.000
Ge3 Ge 0.500 0.000 0.637
Ge4 Ge 0.000 0.500 0.363
Ir1 Ir 0.500 0.500 0.500
```

Results
The value obtained for the total magnetization is 0.0 Bohr magnetons per cell. For the electronic total energy, the calculation gives -64.3 eV per formula unit. The space group is P-4m2. As for the energy of formation: -0.61 eV/atom.